VASP calculation (meta-GGA SCAN) on Zn2CdCl at its PBEsol-relaxed geometry.

## Properties
Its space group is P2/m (10). Its raw formation energy is 0.030 eV/atom. The value obtained for the magnetic moment is 0.000 μB per atom. For the energy above the most stable polymorph in this dataset, the calculation gives 7 meV/atom.

a b c (Å): 3.2945 5.3306 4.4963
angles (deg): 90.00 94.93 90.00
Last column: nearest neighbours and their distance in Å.
Atoms (fractional coordinates):
Zn  0.2265  0.0000  0.2518  3 Zn 2.60-2.79
Zn  0.7735  0.0000  0.7482  3 Zn 2.60-2.79
Cd  0.0000  0.5000  0.5000  4 Cl 2.67-2.90
Cl  0.5000  0.5000  0.0000  4 Cd 2.67-2.90